Entry from Alexandria: a relaxed structure of HWO3 (PBE with a Hubbard U).

Unit cell a=3.335 b=3.335 c=3.335 alpha=90.00 beta=90.00 gamma=90.00
Positions (direct):
H1 0.000 0.000 0.000
W1 0.500 0.500 0.500
O1 0.000 0.000 0.500
O2 0.000 0.500 0.000
O3 0.500 0.000 0.000

## Properties
Size of the total moment, μB per formula unit: 1.00
Calculated volume, Å³ per cell: 37.1
E, eV per atom: -5.11